Computed, not measured: crystalline CdP2Ru at its relaxed geometry at the PBE level of DFT.

The structure in extended XYZ format:
```
4
Lattice="-1.169 0.629 -2.617 0.850 -2.621 -1.010 -6.695 -3.043 2.259" Properties=species:S:1:pos:R:3 pbc="T T T"
P -0.401 -0.182 0.135
Cd -5.181 -3.278 -0.119
Ru -1.833 -1.757 -1.249
P -2.946 -1.339 0.994
```

## Properties
- formation energy from the elements (eV per atom) = 0.01
- symmetry = P4/mmm (123)
- density (g/cm³) = 6.90